[1]
Here is an optimized crystal structure of Mg3CdP from Alexandria via LeMat-Bulk. Energies are from GGA-PBE.

Structure (CIF):
```
data_Mg3CdP
_chemical_formula_sum 'Mg3 Cd1 P1'
_cell_length_a 4.9214
_cell_length_b 4.9214
_cell_length_c 4.9214
_cell_angle_alpha 90.00
_cell_angle_beta 90.00
_cell_angle_gamma 90.00
_space_group_name_H-M_alt 'P m -3 m'
_space_group_IT_number 221
_space_group_name_Hall '-P 4 2 3'
loop_
_atom_site_label
_atom_site_type_symbol
_atom_site_fract_x
_atom_site_fract_y
_atom_site_fract_z
_atom_site_occupancy
Mg1 Mg 0.0000 0.0000 0.5000 1
Cd1 Cd 0.5000 0.5000 0.5000 1
P1 P 0.0000 0.0000 0.0000 1
```

Calculated values
- DFT total energy (eV per atom) = -2.301
- offset from the most stable computed form (meV per atom) = 0
- calculated formation energy (kJ per mole of atoms) = -7.6

[2]
Here is an optimized crystal structure of K2RhCl from Alexandria via LeMat-Bulk. Energies are from GGA-PBE.

Structure (CIF):
```
data_K2RhCl
_chemical_formula_sum 'K4 Rh2 Cl2'
_cell_length_a 11.9935
_cell_length_b 3.5259
_cell_length_c 5.4893
_cell_angle_alpha 90.00
_cell_angle_beta 101.23
_cell_angle_gamma 90.00
_space_group_name_H-M_alt 'C 1 m 1'
_space_group_IT_number 8
loop_
_space_group_symop_operation_xyz
'x,y,z'
'x,-y,z'
'x+1/2,y+1/2,z'
'x+1/2,-y+1/2,z'
loop_
_atom_site_label
_atom_site_type_symbol
_atom_site_fract_x
_atom_site_fract_y
_atom_site_fract_z
_atom_site_occupancy
K1 K 0.0000 0.0000 0.0000 1
K2 K 0.2296 0.5000 0.5693 1
Rh1 Rh 0.2836 0.0000 0.1176 1
Cl1 Cl 0.4498 0.0000 0.4646 1
```

Calculated values
- DFT total energy (eV per atom) = -3.059
- offset from the most stable computed form (meV per atom) = 117
- uncorrected formation energy (meV per atom) = -211

[3]
Here is an optimized crystal structure of Li2TaFe from Alexandria via LeMat-Bulk. Energies are from GGA-PBE.

Structure (CIF):
```
data_Li2TaFe
_chemical_formula_sum 'Li8 Ta4 Fe4'
_cell_length_a 5.6873
_cell_length_b 7.1938
_cell_length_c 5.9475
_cell_angle_alpha 90.00
_cell_angle_beta 97.39
_cell_angle_gamma 90.00
_space_group_name_H-M_alt 'C 1 2/m 1'
_space_group_IT_number 12
loop_
_space_group_symop_operation_xyz
'x,y,z'
'-x,-y,-z'
'-x,y,-z'
'x,-y,z'
'x+1/2,y+1/2,z'
'-x+1/2,-y+1/2,-z'
'-x+1/2,y+1/2,-z'
'x+1/2,-y+1/2,z'
loop_
_atom_site_label
_atom_site_type_symbol
_atom_site_fract_x
_atom_site_fract_y
_atom_site_fract_z
_atom_site_occupancy
Li1 Li 0.0000 0.1874 0.0000 1
Li2 Li 0.1744 0.5000 0.1828 1
Ta1 Ta 0.0000 0.2083 0.5000 1
Fe1 Fe 0.2199 0.5000 0.6465 1
```

Calculated values
- DFT total energy (eV per atom) = -5.831
- offset from the most stable computed form (meV per atom) = 145
- calculated formation energy (kJ per mole of atoms) = 19.7

[4]
Here is an optimized crystal structure of AlCrIr2 from Alexandria via LeMat-Bulk. Energies are from GGA-PBE.

Structure (CIF):
```
data_AlCrIr2
_chemical_formula_sum 'Al1 Cr1 Ir2'
_cell_length_a 2.8124
_cell_length_b 2.8124
_cell_length_c 6.9137
_cell_angle_alpha 90.00
_cell_angle_beta 90.00
_cell_angle_gamma 90.00
_space_group_name_H-M_alt 'P 4 m m'
_space_group_IT_number 99
loop_
_space_group_symop_operation_xyz
'x,y,z'
'-y,x,z'
'-x,-y,z'
'y,-x,z'
'-x,y,z'
'y,x,z'
'x,-y,z'
'-y,-x,z'
loop_
_atom_site_label
_atom_site_type_symbol
_atom_site_fract_x
_atom_site_fract_y
_atom_site_fract_z
_atom_site_occupancy
Al1 Al 0.0000 0.0000 0.0000 1
Cr1 Cr 0.5000 0.5000 0.2454 1
Ir1 Ir 0.0000 0.0000 0.4748 1
Ir2 Ir 0.5000 0.5000 0.7686 1
```

Calculated values
- DFT total energy (eV per atom) = -8.028
- calculated formation energy (kJ per mole of atoms) = -24.7